{
  "formula": "PrGeAu2",
  "functional": "GGA-PBE",
  "state": "optimized geometry",
  "sg": "P-3m1, No. 164",
  "e_form_ev_per_atom": -0.54,
  "cell": [[4.649, 0.000, 0.000], [-2.325, 4.026, 0.000], [0.000, 0.000, 10.123]],
  "species": ["Pr", "Pr", "Ge", "Ge", "Au", "Au", "Au", "Au"],
  "fractional_positions": [[0.000, 0.000, 0.190], [0.000, 0.000, 0.810], [0.333, 0.667, 0.627], [0.667, 0.333, 0.373], [0.333, 0.667, 0.007], [0.333, 0.667, 0.363], [0.667, 0.333, 0.637], [0.667, 0.333, 0.993]]
}

---

{
  "formula": "TlCoHgPb2",
  "functional": "GGA-PBE",
  "state": "optimized geometry",
  "sg": "P4/mmm, No. 123",
  "e_form_ev_per_atom": 0.17,
  "relative_energy_ev_per_atom": 0.0000,
  "cell": [[5.131, 0.000, 0.000], [0.000, 5.131, 0.000], [0.000, 0.000, 5.156]],
  "species": ["Tl", "Co", "Hg", "Pb", "Pb"],
  "fractional_positions": [[0.000, 0.000, 0.000], [0.000, 0.000, 0.500], [0.500, 0.500, 0.000], [0.000, 0.500, 0.500], [0.500, 0.000, 0.500]]
}

---

{
  "formula": "CdNi3N",
  "functional": "GGA-PBE",
  "state": "optimized geometry",
  "e_form_raw_ev_per_fu": 0.73,
  "sg": "P2_1/m, No. 11",
  "relative_energy_ev_per_atom": 0.2098,
  "cell": [[3.787, 0.000, 0.000], [0.000, 5.453, 0.000], [-0.400, 0.000, 6.249]],
  "species": ["Cd", "Cd", "Ni", "Ni", "Ni", "Ni", "Ni", "Ni", "N", "N"],
  "fractional_positions": [[0.217, 0.250, 0.173], [0.783, 0.750, 0.827], [0.219, 0.750, 0.229], [0.261, 0.001, 0.610], [0.261, 0.499, 0.610], [0.739, 0.501, 0.390], [0.739, 0.999, 0.390], [0.781, 0.250, 0.771], [0.286, 0.250, 0.800], [0.714, 0.750, 0.200]]
}

---

{
  "formula": "MgAg4",
  "functional": "GGA-PBE",
  "state": "optimized geometry",
  "sg": "C2/m, No. 12",
  "e_form_ev_per_atom": -0.09,
  "cell": [[9.741, 0.000, 0.000], [0.000, 3.155, 0.000], [-3.973, 0.000, 5.882]],
  "species": ["Mg", "Mg", "Ag", "Ag", "Ag", "Ag", "Ag", "Ag", "Ag", "Ag"],
  "fractional_positions": [[0.000, 0.000, 0.000], [0.500, 0.500, 0.000], [0.100, 0.500, 0.399], [0.200, 0.000, 0.801], [0.300, 0.500, 0.199], [0.400, 0.000, 0.601], [0.600, 0.000, 0.399], [0.700, 0.500, 0.801], [0.800, 0.000, 0.199], [0.900, 0.500, 0.601]]
}

---

{
  "formula": "LiLa2In",
  "functional": "GGA-PBE",
  "state": "optimized geometry",
  "sg": "F-43m, No. 216",
  "e_form_ev_per_atom": -0.07,
  "cell": [[7.680, 0.000, 0.000], [0.000, 7.680, 0.000], [0.000, 0.000, 7.680]],
  "species": ["Li", "Li", "Li", "Li", "La", "La", "La", "La", "La", "La", "La", "La", "In", "In", "In", "In"],
  "fractional_positions": [[0.000, 0.000, 0.000], [0.000, 0.500, 0.500], [0.500, 0.000, 0.500], [0.500, 0.500, 0.000], [0.000, 0.000, 0.500], [0.000, 0.500, 0.000], [0.250, 0.250, 0.750], [0.250, 0.750, 0.250], [0.500, 0.000, 0.000], [0.500, 0.500, 0.500], [0.750, 0.250, 0.250], [0.750, 0.750, 0.750], [0.250, 0.250, 0.250], [0.250, 0.750, 0.750], [0.750, 0.250, 0.750], [0.750, 0.750, 0.250]]
}

---

What did the third record say?
{
  "formula": "CdNi3N",
  "functional": "GGA-PBE",
  "state": "optimized geometry",
  "e_form_raw_ev_per_fu": 0.73,
  "sg": "P2_1/m, No. 11",
  "relative_energy_ev_per_atom": 0.2098,
  "cell": [[3.787, 0.000, 0.000], [0.000, 5.453, 0.000], [-0.400, 0.000, 6.249]],
  "species": ["Cd", "Cd", "Ni", "Ni", "Ni", "Ni", "Ni", "Ni", "N", "N"],
  "fractional_positions": [[0.217, 0.250, 0.173], [0.783, 0.750, 0.827], [0.219, 0.750, 0.229], [0.261, 0.001, 0.610], [0.261, 0.499, 0.610], [0.739, 0.501, 0.390], [0.739, 0.999, 0.390], [0.781, 0.250, 0.771], [0.286, 0.250, 0.800], [0.714, 0.750, 0.200]]
}